1.
The following is a DFT calculation (GGA-PBE) of a relaxed Rb3LiS2 crystal.

Results
Total energy ... -38.408 eV for the cell shown
SG ... No. 72
Energy relative to the elements, uncorrected ... -6.13 eV/f.u.
M_tot ... 0.0 μB/f.u.

Cell: 8.7881 8.7881 8.7881 Å, 126.20 72.88 134.73°
Closest atoms and distances in Å follow each position.
Element x y z (fractional)
Rb 0.1762 0.6846 0.8608  4 S 3.21-3.57, 2 Li 3.35
Rb 0.2500 0.2500 0.0000  4 S 3.26, 2 Rb 3.38
Rb 0.3238 0.1846 0.5083  4 S 3.21-3.57, 2 Li 3.35
Rb 0.6762 0.8154 0.4917  4 S 3.21-3.57, 2 Li 3.35
Rb 0.7500 0.7500 0.0000  4 S 3.26, 2 Rb 3.38
Rb 0.8238 0.3154 0.1392  4 S 3.21-3.57, 2 Li 3.35
Li 0.2500 0.7500 0.5000  4 S 2.66
Li 0.7500 0.2500 0.5000  4 S 2.66
S 0.0962 0.3067 0.4029  2 Li 2.66
S 0.4038 0.8067 0.2105  2 Li 2.66
S 0.5962 0.1933 0.7895  2 Li 2.66
S 0.9038 0.6933 0.5971  2 Li 2.66

=====

2.
The following is a DFT calculation (GGA-PBE) of a relaxed Nd3TePb crystal.

Results
Energy above the most stable polymorph in this dataset ... 68 meV/atom
Total energy ... -49.863 eV for the cell shown
SG ... No. 63
Energy relative to the elements, uncorrected ... -3.78 eV/f.u.
M_tot ... 0.0 μB/f.u.

Cell: 9.5789 9.5789 6.5053 Å, 90.00 90.00 147.91°
Closest atoms and distances in Å follow each position.
Element x y z (fractional)
Nd 0.0000 0.0000 0.0000  2 Nd 3.25, 4 Te 3.41
Nd 0.0000 0.0000 0.5000  2 Nd 3.25, 4 Te 3.41
Nd 0.1892 0.8108 0.7500  4 Pb 3.25-3.42, 2 Te 3.37
Nd 0.3964 0.6036 0.7500  2 Pb 3.12, 3 Te 3.29-3.30
Nd 0.6036 0.3964 0.2500  2 Pb 3.12, 3 Te 3.29-3.30
Nd 0.8108 0.1892 0.2500  4 Pb 3.25-3.42, 2 Te 3.37
Te 0.4244 0.5756 0.2500  9 Nd 3.29-3.41
Te 0.5756 0.4244 0.7500  9 Nd 3.29-3.41
Pb 0.1936 0.8064 0.2500  6 Nd 3.12-3.42
Pb 0.8064 0.1936 0.7500  6 Nd 3.12-3.42

=====

3.
The following is a DFT calculation (GGA-PBE) of a relaxed Sr2TmGa3Pt4 crystal.

Results
Total energy ... -50.244 eV for the cell shown
SG ... No. 115
M_tot ... 0.0 μB/f.u.
Energy of formation ... -0.9165 eV per atom

Cell: 4.4072 4.4072 11.0992 Å, 90.00 90.00 90.00°
Closest atoms and distances in Å follow each position.
Element x y z (fractional)
Sr 0.0000 0.5000 0.2289  6 Ga 3.35-3.73, 8 Pt 3.36-3.39, 2 Tm 3.73
Sr 0.5000 0.0000 0.7711  6 Ga 3.35-3.73, 8 Pt 3.36-3.39, 2 Tm 3.73
Tm 0.0000 0.0000 0.5000  4 Pt 2.76
Ga 0.0000 0.5000 0.8820  5 Pt 2.56-2.57
Ga 0.5000 0.0000 0.1180  5 Pt 2.56-2.57
Ga 0.5000 0.5000 0.5000  4 Pt 2.76
Pt 0.0000 0.0000 0.0000  4 Ga 2.56
Pt 0.0000 0.5000 0.6502  3 Ga 2.57-2.76, 2 Tm 2.76
Pt 0.5000 0.0000 0.3498  3 Ga 2.57-2.76, 2 Tm 2.76
Pt 0.5000 0.5000 0.0000  4 Ga 2.56

=====

4.
The following is a DFT calculation (GGA-PBE) of a relaxed TbY4HoS8 crystal.

Results
Total energy ... -95.248 eV for the cell shown
SG ... No. 160
Energy relative to the elements, uncorrected ... -27.16 eV/f.u.
M_tot ... 0.0 μB/f.u.

Cell: 8.0606 8.0606 8.0606 Å, 59.97 59.97 59.97°
Closest atoms and distances in Å follow each position.
Element x y z (fractional)
Tb 0.0000 0.0000 0.0000  6 S 2.77-2.78
Y 0.0001 0.0001 0.5002  6 S 2.76-2.77
Y 0.0001 0.5002 0.0001  6 S 2.76-2.77
Y 0.3751 0.3751 0.3751  4 S 2.62
Y 0.5002 0.0001 0.0001  6 S 2.76-2.77
Ho 0.6252 0.6252 0.6252  4 S 2.60
S 0.2299 0.7565 0.7565  1 Ho 2.60, 2 Y 2.77, 1 Tb 2.78
S 0.2425 0.2425 0.2425  4 Y 2.62-2.77
S 0.2428 0.2428 0.7727  3 Y 2.62-2.76, 1 Tb 2.77
S 0.2428 0.7727 0.2428  3 Y 2.62-2.76, 1 Tb 2.77
S 0.7565 0.2299 0.7565  1 Ho 2.60, 2 Y 2.77, 1 Tb 2.78
S 0.7565 0.7565 0.2299  1 Ho 2.60, 2 Y 2.77, 1 Tb 2.78
S 0.7570 0.7570 0.7570  1 Ho 2.60, 3 Y 2.77
S 0.7727 0.2428 0.2428  3 Y 2.62-2.76, 1 Tb 2.77

=====

5.
The following is a DFT calculation (GGA-PBE) of a relaxed MgMn2Ag crystal.

Results
Total energy ... -21.456 eV for the cell shown
SG ... No. 12
M_tot ... 7.4 μB/f.u.
Energy of formation ... 0.3321 eV per atom

Cell: 5.4056 5.4056 2.8223 Å, 100.87 100.87 119.04°
Closest atoms and distances in Å follow each position.
Element x y z (fractional)
Mg 0.0000 0.0000 0.0000  2 Ag 2.74, 4 Mn 2.80, 2 Mg 2.82
Mn 0.0000 0.5000 0.5000  4 Mn 2.74-2.82, 2 Mg 2.80, 2 Ag 2.80
Mn 0.5000 0.0000 0.5000  4 Mn 2.74-2.82, 2 Mg 2.80, 2 Ag 2.80
Ag 0.5000 0.5000 0.0000  2 Mg 2.74, 4 Mn 2.80, 2 Ag 2.82

=====

6.
The following is a DFT calculation (GGA-PBE) of a relaxed KNa2NiSn crystal.

Results
Total energy ... -13.523 eV for the cell shown
SG ... No. 123
M_tot ... 0.0 μB/f.u.
Energy of formation ... -0.0007 eV per atom

Cell: 5.5586 5.5586 4.8826 Å, 90.00 90.00 90.00°
Closest atoms and distances in Å follow each position.
Element x y z (fractional)
K 0.0000 0.0000 0.0000  8 Na 3.70, 4 Sn 3.93
Na 0.0000 0.5000 0.5000  2 Ni 2.78
Na 0.5000 0.0000 0.5000  2 Ni 2.78
Ni 0.5000 0.5000 0.5000  2 Sn 2.44
Sn 0.5000 0.5000 0.0000  2 Ni 2.44

=====

7.
The following is a DFT calculation (GGA-PBE) of a relaxed CsNaHg2 crystal.

Results
Energy above the most stable polymorph in this dataset ... 98 meV/atom
Total energy ... -3.327 eV for the cell shown
SG ... No. 123
M_tot ... 0.0 μB/f.u.
Energy of formation ... -0.1378 eV per atom

Cell: 6.0110 6.0110 4.2919 Å, 90.00 90.00 90.00°
Closest atoms and distances in Å follow each position.
Element x y z (fractional)
Cs 0.0000 0.0000 0.0000  8 Hg 3.69
Na 0.5000 0.5000 0.0000  8 Hg 3.69
Hg 0.0000 0.5000 0.5000  4 Na 3.69, 4 Cs 3.69
Hg 0.5000 0.0000 0.5000  4 Na 3.69, 4 Cs 3.69

=====

8.
The following is a DFT calculation (GGA-PBE) of a relaxed YIn2Cl crystal.

Results
Energy above the most stable polymorph in this dataset ... 240 meV/atom
Total energy ... -15.755 eV for the cell shown
SG ... No. 65
Energy relative to the elements, uncorrected ... -1.97 eV/f.u.
M_tot ... 0.0 μB/f.u.

Cell: 5.6788 5.6788 3.4715 Å, 90.00 90.00 111.54°
Closest atoms and distances in Å follow each position.
Element x y z (fractional)
Y 0.0000 0.0000 0.0000  2 Cl 3.19, 8 In 3.33, 2 Y 3.47
In 0.0000 0.5000 0.5000  4 In 3.19-3.47, 4 Cl 3.33, 4 Y 3.33
In 0.5000 0.0000 0.5000  4 In 3.19-3.47, 4 Cl 3.33, 4 Y 3.33
Cl 0.5000 0.5000 0.0000  2 Y 3.19, 8 In 3.33, 2 Cl 3.47

=====

9.
The following is a DFT calculation (GGA-PBE) of a relaxed BeCd4Hg crystal.

Results
Total energy ... -4.994 eV for the cell shown
SG ... No. 216
M_tot ... 0.0 μB/f.u.
Energy of formation ... 0.4492 eV per atom

Cell: 5.7481 5.7481 5.7481 Å, 60.00 60.00 60.00°
Closest atoms and distances in Å follow each position.
Element x y z (fractional)
Be 0.0000 0.0000 0.0000  12 Cd 3.37, 4 Hg 3.52
Cd 0.1237 0.6254 0.6254  6 Cd 2.86-2.88
Cd 0.6254 0.1237 0.6254  6 Cd 2.86-2.88
Cd 0.6254 0.6254 0.1237  6 Cd 2.86-2.88
Cd 0.6254 0.6254 0.6254  6 Cd 2.86-2.88
Hg 0.2500 0.2500 0.2500  12 Cd 3.37, 4 Be 3.52

=====

10.
The following is a DFT calculation (GGA-PBE) of a relaxed Tb3Ce2ThTe6 crystal.

Results
Total energy ... -67.415 eV for the cell shown
SG ... No. 12
Energy relative to the elements, uncorrected ... -15.39 eV/f.u.
M_tot ... 2.5 μB/f.u.

Cell: 9.9899 9.9899 8.9795 Å, 105.34 105.34 25.25°
Closest atoms and distances in Å follow each position.
Element x y z (fractional)
Tb 0.0000 0.0000 0.0000  6 Te 3.08-3.10
Tb 0.3342 0.3342 0.6680  6 Te 3.06-3.10
Tb 0.6658 0.6658 0.3320  6 Te 3.06-3.10
Ce 0.3351 0.3351 0.1710  6 Te 3.16-3.19
Ce 0.6649 0.6649 0.8290  6 Te 3.16-3.19
Th 0.0000 0.0000 0.5000  6 Te 3.19
Te 0.1652 0.1652 0.0871  3 Tb 3.10, 3 Ce 3.18-3.19
Te 0.1695 0.1695 0.5762  3 Tb 3.08-3.09, 2 Ce 3.17, 1 Th 3.19
Te 0.4972 0.4972 0.7566  3 Tb 3.06-3.08, 1 Ce 3.16, 2 Th 3.19
Te 0.5028 0.5028 0.2434  3 Tb 3.06-3.08, 1 Ce 3.16, 2 Th 3.19
Te 0.8305 0.8305 0.4238  3 Tb 3.08-3.09, 2 Ce 3.17, 1 Th 3.19
Te 0.8348 0.8348 0.9129  3 Tb 3.10, 3 Ce 3.18-3.19

=====

11.
The following is a DFT calculation (GGA-PBE) of a relaxed BaCaO2 crystal.

Results
Energy above the most stable polymorph in this dataset ... 204 meV/atom
Total energy ... -23.671 eV for the cell shown
SG ... No. 160
Energy relative to the elements, uncorrected ... -9.83 eV/f.u.
M_tot ... 0.0 μB/f.u.

Cell: 6.7361 6.7361 6.7361 Å, 31.11 31.11 31.11°
Closest atoms and distances in Å follow each position.
Element x y z (fractional)
Ba 0.0000 0.0000 0.0000  6 O 2.71-2.74
Ca 0.8312 0.8312 0.8312  6 O 2.53-2.55
O 0.4230 0.4230 0.4230  3 Ca 2.53, 3 Ba 2.71
O 0.5746 0.5746 0.5746  3 Ca 2.55, 3 Ba 2.74

=====

Q: The highest total energy belongs to which entry?
A: CsNaHg2

=====

Q: What is the M_tot in the ninth record?
A: 0.0 μB/f.u.